Entry 1:
Compound: Er2SiPb
Source: Alexandria
Functional: GGA-PBE
Structure: relaxed

Unit cell a=3.945 b=3.945 c=8.468 alpha=76.53 beta=76.53 gamma=60.00
Fractional coordinates of all 4 atoms:
Pb: 0.500 0.500 0.500
Si: 0.000 0.000 0.000
Er: 0.267 0.267 0.200
Er: 0.733 0.733 0.800

## Properties
space-group type: R-3m (166)
uncorrected formation energy: -1.9 eV per formula unit
total DFT energy (no corrections): -0.370 Ry/atom
D(E_F): 4.0 states/eV per cell

---

Entry 2:
Compound: TiCrRh6
Source: Alexandria
Functional: GGA-PBE
Structure: relaxed

Unit cell a=4.574 b=4.574 c=6.958 alpha=72.96 beta=72.96 gamma=70.37
Last column: magnetic moment on the atom in μB.
Fractional coordinates of all 8 atoms:
Ti: 0.500 0.500 0.500  0.07
Cr: 0.000 0.000 0.000  2.19
Rh: 0.056 0.534 0.299  -0.08
Rh: 0.534 0.056 0.299  -0.08
Rh: 0.466 0.944 0.701  -0.08
Rh: 0.944 0.466 0.701  -0.08
Rh: 0.362 0.362 0.929  -0.19
Rh: 0.638 0.638 0.071  -0.19

## Properties
space-group type: C2/m (12)
E_form: 0.14 eV/atom
total DFT energy (no corrections): -0.556 Ry/atom
D(E_F): 12.7 states/eV per cell

---

Entry 3:
Compound: Ac8PmTm2
Source: Alexandria
Functional: GGA-PBE
Structure: relaxed

Unit cell a=6.219 b=9.087 c=9.087 alpha=84.66 beta=80.47 gamma=80.47
Fractional coordinates of all 11 atoms:
Ac: 0.810 0.143 0.634
Ac: 0.190 0.366 0.857
Ac: 0.496 0.143 0.143
Ac: 0.504 0.857 0.857
Ac: 0.810 0.634 0.143
Ac: 0.190 0.857 0.366
Ac: 0.293 0.420 0.420
Ac: 0.707 0.580 0.580
Pm: 0.000 0.000 0.000
Tm: 0.923 0.261 0.261
Tm: 0.077 0.739 0.739

## Properties
space-group type: C2/m (12)
E_form: 0.36 eV/atom
total DFT energy (no corrections): -0.285 Ry/atom
D(E_F): 16.3 states/eV per cell

---

Entry 4:
Compound: GdThMg
Source: Alexandria
Functional: GGA-PBE
Structure: relaxed

Unit cell a=3.567 b=3.567 c=7.516 alpha=103.73 beta=103.73 gamma=90.00
Last column: magnetic moment on the atom in μB.
Fractional coordinates of all 3 atoms:
Mg: 0.669 0.669 0.337  0.00
Gd: 0.327 0.327 0.655  7.10
Th: 0.004 0.004 0.008  -0.08

## Properties
space-group type: I4mm (107)
E_form: 0.02 eV/atom
total DFT energy (no corrections): -0.564 Ry/atom
D(E_F): 3.2 states/eV per cell

---

Entry 5:
Compound: KPtW2
Source: Alexandria
Functional: GGA-PBE
Structure: relaxed

Unit cell a=2.733 b=2.733 c=10.436 alpha=90.00 beta=90.00 gamma=90.00
Last column: magnetic moment on the atom in μB.
Fractional coordinates of all 4 atoms:
K: 0.500 0.500 0.250  0.03
Pt: 0.500 0.500 0.750  0.03
W: 0.000 0.000 0.949  0.09
W: 0.000 0.000 0.551  0.09

## Properties
space-group type: P4/mmm (123)
E_form: 0.86 eV/atom
total DFT energy (no corrections): -0.544 Ry/atom
D(E_F): 4.8 states/eV per cell

---

Entry 6:
Compound: HfAg3S4
Source: Alexandria
Functional: GGA-PBE
Structure: relaxed

Unit cell a=5.804 b=5.804 c=7.095 alpha=114.14 beta=114.14 gamma=90.00
Fractional coordinates of all 8 atoms:
Hf: 0.000 0.000 0.000
Ag: 0.500 0.500 0.000
Ag: 0.750 0.250 0.500
Ag: 0.250 0.750 0.500
S: 0.359 0.359 0.239
S: 0.880 0.880 0.239
S: 0.120 0.641 0.761
S: 0.641 0.120 0.761

## Properties
space-group type: I-42m (121)
uncorrected formation energy: -4.0 eV per formula unit
total DFT energy (no corrections): -0.358 Ry/atom
D(E_F): 8.2 states/eV per cell

---

Entry 7:
Compound: VNiMo
Source: Alexandria
Functional: GGA-PBE
Structure: relaxed

Unit cell a=5.231 b=4.081 c=8.796 alpha=90.00 beta=121.02 gamma=90.00
Fractional coordinates of all 12 atoms:
Ni: 0.857 0.000 0.982
Ni: 0.857 0.500 0.482
Ni: 0.193 0.000 0.659
Ni: 0.193 0.500 0.159
Mo: 0.021 0.000 0.320
Mo: 0.021 0.500 0.820
Mo: 0.687 0.000 0.636
Mo: 0.687 0.500 0.136
V: 0.511 0.000 0.312
V: 0.511 0.500 0.812
V: 0.346 0.000 0.995
V: 0.346 0.500 0.495

## Properties
space-group type: Cm (8)
E_form: -0.03 eV/atom
total DFT energy (no corrections): -0.632 Ry/atom
D(E_F): 11.6 states/eV per cell

---

Entry 8:
Compound: Ca3Ga2Ni2
Source: Alexandria
Functional: GGA-PBE
Structure: relaxed

Unit cell a=5.749 b=7.896 c=13.225 alpha=90.00 beta=90.00 gamma=90.00
Fractional coordinates of all 28 atoms:
Ca: 0.142 0.607 0.099
Ca: 0.858 0.393 0.599
Ca: 0.858 0.107 0.401
Ca: 0.142 0.893 0.901
Ca: 0.858 0.393 0.901
Ca: 0.142 0.607 0.401
Ca: 0.142 0.893 0.599
Ca: 0.858 0.107 0.099
Ca: 0.358 0.262 0.250
Ca: 0.642 0.738 0.750
Ca: 0.642 0.762 0.250
Ca: 0.358 0.238 0.750
Ga: 0.384 0.250 0.000
Ga: 0.616 0.750 0.500
Ga: 0.616 0.750 0.000
Ga: 0.384 0.250 0.500
Ga: 0.828 0.414 0.250
Ga: 0.172 0.586 0.750
Ga: 0.172 0.914 0.250
Ga: 0.828 0.086 0.750
Ni: 0.624 0.473 0.088
Ni: 0.376 0.527 0.588
Ni: 0.376 0.973 0.412
Ni: 0.624 0.027 0.912
Ni: 0.376 0.527 0.912
Ni: 0.624 0.473 0.412
Ni: 0.624 0.027 0.588
Ni: 0.376 0.973 0.088

## Properties
space-group type: Pbcm (57)
E_form: -0.41 eV/atom
total DFT energy (no corrections): -0.278 Ry/atom
D(E_F): 19.5 states/eV per cell

---

Please write out number 3 again, unchanged.
Compound: Ac8PmTm2
Source: Alexandria
Functional: GGA-PBE
Structure: relaxed

Unit cell a=6.219 b=9.087 c=9.087 alpha=84.66 beta=80.47 gamma=80.47
Fractional coordinates of all 11 atoms:
Ac: 0.810 0.143 0.634
Ac: 0.190 0.366 0.857
Ac: 0.496 0.143 0.143
Ac: 0.504 0.857 0.857
Ac: 0.810 0.634 0.143
Ac: 0.190 0.857 0.366
Ac: 0.293 0.420 0.420
Ac: 0.707 0.580 0.580
Pm: 0.000 0.000 0.000
Tm: 0.923 0.261 0.261
Tm: 0.077 0.739 0.739

## Properties
space-group type: C2/m (12)
E_form: 0.36 eV/atom
total DFT energy (no corrections): -0.285 Ry/atom
D(E_F): 16.3 states/eV per cell

---

> Among the records above, which one has the highest total DFT energy (no corrections)?

Ca3Ga2Ni2